First-principles (PBE-GGA) data for a geometry-optimized Be2SiHg structure, as listed in the Alexandria database.

Lattice parameters (Å, degrees): 2.5790 3.3832 6.9549 90.00 90.00 90.00
Fractional coordinates of all 4 atoms:
Be: 0.0000 0.0000 0.0261
Be: 0.5000 0.5000 0.1785
Si: 0.5000 0.5000 0.8476
Hg: 0.0000 0.0000 0.4479

Summary:
* raw formation energy: 505.4 meV per atom
* energy above the most stable polymorph in this dataset: 313 meV per atom
* electronic total energy: -2.789 eV/atom
* SG: No. 25
* density of states at the Fermi level: 1.389 states/eV/f.u.
* crystal system: orthorhombic
* volume: 15.17 Å³ per atom
* ρ: 6.751 g/cm³
* total moment: 0.00 μB/f.u.

First-principles (PBE-GGA) data for a geometry-optimized BeSiHg2 structure, as listed in the Alexandria database.

Lattice parameters (Å, degrees): 2.9129 2.9129 9.2417 90.00 90.00 90.00
Fractional coordinates of all 4 atoms:
Be: 0.5000 0.5000 0.7219
Si: 0.0000 0.0000 0.5774
Hg: 0.0000 0.0000 0.9315
Hg: 0.5000 0.5000 0.2692

Summary:
* raw formation energy: 427.8 meV per atom
* energy above the most stable polymorph in this dataset: 79 meV per atom
* electronic total energy: -2.010 eV/atom
* SG: No. 99
* density of states at the Fermi level: 0.843 states/eV/f.u.
* crystal system: tetragonal
* volume: 19.60 Å³ per atom
* ρ: 9.281 g/cm³
* total moment: 0.00 μB/f.u.

First-principles (PBE-GGA) data for a geometry-optimized BeSiHg2 structure, as listed in the Alexandria database.

Lattice parameters (Å, degrees): 4.3673 4.3673 8.8440 75.71 75.71 90.00
Fractional coordinates of all 8 atoms:
Be: 0.5000 0.5000 0.0000
Be: 0.2500 0.7500 0.5000
Si: 0.0000 0.0000 0.0000
Si: 0.7500 0.2500 0.5000
Hg: 0.6045 0.1250 0.2500
Hg: 0.1455 0.6250 0.2500
Hg: 0.3750 0.3955 0.7500
Hg: 0.8750 0.8545 0.7500

Summary:
* raw formation energy: 562.4 meV per atom
* energy above the most stable polymorph in this dataset: 214 meV per atom
* electronic total energy: -1.876 eV/atom
* SG: No. 122
* density of states at the Fermi level: 1.414 states/eV/f.u.
* crystal system: tetragonal
* volume: 19.76 Å³ per atom
* ρ: 9.208 g/cm³
* total moment: 0.00 μB/f.u.